Record 1
{"formula": "Sr2ErCu3Pb2O8", "functional": "SCAN", "state": "PBEsol geometry", "lattice_angstrom": [[3.7688, 0.0000, 0.0000], [0.0000, 3.7688, 0.0000], [0.0000, 0.0000, 15.6486]], "species": ["Sr", "Sr", "Er", "Cu", "Cu", "Cu", "Pb", "Pb", "O", "O", "O", "O", "O", "O", "O", "O"], "fractional_positions": [[0.0000, 0.0000, 0.2193], [0.0000, 0.0000, 0.7807], [0.0000, 0.0000, 0.0000], [0.0000, 0.0000, 0.5000], [0.5000, 0.5000, 0.1022], [0.5000, 0.5000, 0.8978], [0.5000, 0.5000, 0.3876], [0.5000, 0.5000, 0.6124], [0.0000, 0.0000, 0.3826], [0.0000, 0.0000, 0.6174], [0.0000, 0.5000, 0.0904], [0.0000, 0.5000, 0.9096], [0.5000, 0.0000, 0.0904], [0.5000, 0.0000, 0.9096], [0.5000, 0.5000, 0.2492], [0.5000, 0.5000, 0.7508]], "space_group": "No. 123", "raw_formation_energy_ev_per_atom": -1.921}


Record 2
{"formula": "Er2CuOs", "functional": "SCAN", "state": "PBEsol geometry", "lattice_angstrom": [[6.6869, 0.0000, 0.0000], [0.0000, 6.6869, 0.0000], [0.0000, 0.0000, 6.6869]], "species": ["Er", "Er", "Er", "Er", "Er", "Er", "Er", "Er", "Cu", "Cu", "Cu", "Cu", "Os", "Os", "Os", "Os"], "fractional_positions": [[0.2500, 0.2500, 0.2500], [0.2500, 0.2500, 0.7500], [0.2500, 0.7500, 0.2500], [0.2500, 0.7500, 0.7500], [0.7500, 0.2500, 0.2500], [0.7500, 0.2500, 0.7500], [0.7500, 0.7500, 0.2500], [0.7500, 0.7500, 0.7500], [0.0000, 0.0000, 0.0000], [0.0000, 0.5000, 0.5000], [0.5000, 0.0000, 0.5000], [0.5000, 0.5000, 0.0000], [0.0000, 0.0000, 0.5000], [0.0000, 0.5000, 0.0000], [0.5000, 0.0000, 0.0000], [0.5000, 0.5000, 0.5000]], "space_group": "No. 225", "ef_ev_per_atom": -0.4352}


Record 3
{"formula": "Er5CuPb3", "functional": "SCAN", "state": "PBEsol geometry", "lattice_angstrom": [[8.9829, 0.0000, 0.0000], [-4.4914, 7.7794, 0.0000], [0.0000, 0.0000, 6.4925]], "species": ["Er", "Er", "Er", "Er", "Er", "Er", "Er", "Er", "Er", "Er", "Cu", "Cu", "Pb", "Pb", "Pb", "Pb", "Pb", "Pb"], "fractional_positions": [[0.0000, 0.2531, 0.2500], [0.0000, 0.7469, 0.7500], [0.2531, 0.0000, 0.2500], [0.2531, 0.2531, 0.7500], [0.3333, 0.6667, 0.0000], [0.3333, 0.6667, 0.5000], [0.6667, 0.3333, 0.0000], [0.6667, 0.3333, 0.5000], [0.7469, 0.0000, 0.7500], [0.7469, 0.7469, 0.2500], [0.0000, 0.0000, 0.0000], [0.0000, 0.0000, 0.5000], [0.0000, 0.3897, 0.7500], [0.0000, 0.6103, 0.2500], [0.3897, 0.0000, 0.7500], [0.3897, 0.3897, 0.2500], [0.6103, 0.0000, 0.2500], [0.6103, 0.6103, 0.7500]], "space_group": "No. 193", "ef_ev_per_atom": -0.6745}


Record 4
{"formula": "Er3CuSiS7", "functional": "SCAN", "state": "PBEsol geometry", "lattice_angstrom": [[9.6771, 0.0000, 0.0000], [-4.8386, 8.3807, 0.0000], [0.0000, 0.0000, 5.5710]], "species": ["Er", "Er", "Er", "Er", "Er", "Er", "Cu", "Cu", "Si", "Si", "S", "S", "S", "S", "S", "S", "S", "S", "S", "S", "S", "S", "S", "S"], "fractional_positions": [[0.1294, 0.3573, 0.0000], [0.2279, 0.8706, 0.0000], [0.3573, 0.2279, 0.5000], [0.6427, 0.7721, 0.0000], [0.7721, 0.1294, 0.5000], [0.8706, 0.6427, 0.5000], [0.0000, 0.0000, 0.4606], [0.0000, 0.0000, 0.9606], [0.3333, 0.6667, 0.5874], [0.6667, 0.3333, 0.0874], [0.0957, 0.2604, 0.4778], [0.1021, 0.5815, 0.7400], [0.1647, 0.9043, 0.4778], [0.2604, 0.1647, 0.9778], [0.3333, 0.6667, 0.2104], [0.4185, 0.5206, 0.7400], [0.4794, 0.8979, 0.7400], [0.5206, 0.1021, 0.2400], [0.5815, 0.4794, 0.2400], [0.6667, 0.3333, 0.7104], [0.7396, 0.8353, 0.4778], [0.8353, 0.0957, 0.9778], [0.8979, 0.4185, 0.2400], [0.9043, 0.7396, 0.9778]], "space_group": "No. 173", "raw_formation_energy_ev_per_atom": -1.715}


Record 5
{"formula": "Er3Cu3Sb4", "functional": "SCAN", "state": "PBEsol geometry", "lattice_angstrom": [[-4.6936, 4.6936, 4.6936], [4.6936, -4.6936, 4.6936], [4.6936, 4.6936, -4.6936]], "species": ["Er", "Er", "Er", "Er", "Er", "Er", "Cu", "Cu", "Cu", "Cu", "Cu", "Cu", "Sb", "Sb", "Sb", "Sb", "Sb", "Sb", "Sb", "Sb"], "fractional_positions": [[0.1250, 0.8750, 0.2500], [0.2500, 0.1250, 0.8750], [0.3750, 0.6250, 0.7500], [0.6250, 0.7500, 0.3750], [0.7500, 0.3750, 0.6250], [0.8750, 0.2500, 0.1250], [0.1250, 0.7500, 0.8750], [0.2500, 0.6250, 0.3750], [0.3750, 0.2500, 0.6250], [0.6250, 0.3750, 0.2500], [0.7500, 0.8750, 0.1250], [0.8750, 0.1250, 0.7500], [0.0000, 0.1627, 0.5000], [0.0000, 0.6627, 0.5000], [0.1627, 0.5000, 0.0000], [0.3373, 0.3373, 0.3373], [0.5000, 0.0000, 0.1627], [0.5000, 0.0000, 0.6627], [0.6627, 0.5000, 0.0000], [0.8373, 0.8373, 0.8373]], "space_group": "No. 220", "raw_formation_energy_ev_per_atom": -0.787}


Record 6
{"formula": "ErCuSe2", "functional": "SCAN", "state": "PBEsol geometry", "lattice_angstrom": [[4.0061, 0.0000, 0.0000], [-2.0031, 3.4694, 0.0000], [0.0000, 0.0000, 6.2832]], "species": ["Er", "Cu", "Se", "Se"], "fractional_positions": [[0.0000, 0.0000, 0.0000], [0.3333, 0.6667, 0.6225], [0.3333, 0.6667, 0.2397], [0.6667, 0.3333, 0.7277]], "space_group": "No. 156", "raw_formation_energy_ev_per_atom": -1.349}


Record 7
{"formula": "Er2CuSi3", "functional": "SCAN", "state": "PBEsol geometry", "lattice_angstrom": [[3.8922, 0.0000, 0.0000], [0.0000, 3.9883, 0.0000], [0.0000, 0.0000, 13.6956]], "species": ["Er", "Er", "Er", "Er", "Cu", "Cu", "Si", "Si", "Si", "Si", "Si", "Si"], "fractional_positions": [[0.0000, 0.0000, 0.0000], [0.0000, 0.5000, 0.2569], [0.5000, 0.0000, 0.7569], [0.5000, 0.5000, 0.5000], [0.0000, 0.0000, 0.5902], [0.5000, 0.5000, 0.0902], [0.0000, 0.0000, 0.4274], [0.0000, 0.5000, 0.6657], [0.0000, 0.5000, 0.8337], [0.5000, 0.0000, 0.1657], [0.5000, 0.0000, 0.3337], [0.5000, 0.5000, 0.9274]], "space_group": "No. 44", "raw_formation_energy_ev_per_atom": -0.722}


Record 8
{"formula": "ErCu5Sn", "functional": "SCAN", "state": "PBEsol geometry", "lattice_angstrom": [[8.0612, 0.0000, 0.0000], [0.0000, 4.8868, 0.0000], [0.0000, 0.0000, 10.4245]], "species": ["Er", "Er", "Er", "Er", "Cu", "Cu", "Cu", "Cu", "Cu", "Cu", "Cu", "Cu", "Cu", "Cu", "Cu", "Cu", "Cu", "Cu", "Cu", "Cu", "Cu", "Cu", "Cu", "Cu", "Sn", "Sn", "Sn", "Sn"], "fractional_positions": [[0.2494, 0.2500, 0.0631], [0.2506, 0.7500, 0.5631], [0.7494, 0.2500, 0.4369], [0.7506, 0.7500, 0.9369], [0.0579, 0.2500, 0.6015], [0.0695, 0.5012, 0.8125], [0.0695, 0.9988, 0.8125], [0.0844, 0.7500, 0.0167], [0.1835, 0.7500, 0.2412], [0.3165, 0.2500, 0.7412], [0.4156, 0.2500, 0.5167], [0.4305, 0.0012, 0.3125], [0.4305, 0.4988, 0.3125], [0.4421, 0.7500, 0.1015], [0.5579, 0.2500, 0.8985], [0.5695, 0.5012, 0.6875], [0.5695, 0.9988, 0.6875], [0.5844, 0.7500, 0.4833], [0.6835, 0.7500, 0.2588], [0.8165, 0.2500, 0.7588], [0.9156, 0.2500, 0.9833], [0.9305, 0.0012, 0.1875], [0.9305, 0.4988, 0.1875], [0.9421, 0.7500, 0.3985], [0.1371, 0.2500, 0.3613], [0.3629, 0.7500, 0.8613], [0.6371, 0.2500, 0.1387], [0.8629, 0.7500, 0.6387]], "space_group": "No. 62", "ef_ev_per_atom": -0.2896}